[1]
First-principles (PBE) data for a geometry-optimized Pr2Dy2Ho structure, as listed in Alexandria via LeMat-Bulk.

* formation energy: 136 meV/atom
* total energy: -4.5326 eV per atom

Cell lengths 3.664, 5.755, 31.982 Å; angles 90.00, 90.00, 90.00 degrees
Space group Imma (No. 74)
Asymmetric unit:
1 Pr 0.000 0.250 0.023 x4
2 Pr 0.000 0.250 0.122 x4
3 Dy 0.000 0.250 0.291 x4
4 Dy 0.000 0.250 0.803 x4
5 Ho 0.000 0.250 0.581 x4


[2]
First-principles (PBE) data for a geometry-optimized Ta2NbTcAs structure, as listed in Alexandria via LeMat-Bulk.

* formation energy: 865 meV/atom
* total energy: -8.8927 eV per atom

Cell lengths 4.720, 4.720, 4.469 Å; angles 90.00, 90.00, 90.00 degrees
Space group P4/mmm (No. 123)
Asymmetric unit:
1 Ta 0.000 0.500 0.000 x2
2 Nb 0.000 0.000 0.500 x1
3 Tc 0.500 0.500 0.500 x1
4 As 0.500 0.500 0.000 x1


[3]
First-principles (PBE) data for a geometry-optimized TbPm7Er12 structure, as listed in Alexandria via LeMat-Bulk.

* formation energy: 663 meV/atom
* total energy: -3.9687 eV per atom

Cell lengths 11.224, 11.224, 11.224 Å; angles 90.00, 90.00, 90.00 degrees
Space group Im-3m (No. 229)
Asymmetric unit:
1 Tb 0.000 0.000 0.000 x2
2 Pm 0.000 0.000 0.500 x6
3 Pm 0.250 0.250 0.250 x8
4 Er 0.000 0.247 0.247 x24